Entry 1:
KTh4S8 | PBE | optimized geometry

a = 8.356 Å, b = 8.356 Å, c = 8.853 Å
α = 103.21°, β = 104.16°, γ = 119.92°
Last column: magnetic moment on the atom in μB.
Fractional coordinates of all 13 atoms:
Th1 0.748 0.748 0.000  0.13
Th2 0.252 0.252 0.000  0.13
Th3 0.268 0.766 0.034  0.13
Th4 0.732 0.234 0.966  0.13
S1 0.307 0.973 0.818  0.00
S2 0.174 0.016 0.190  0.00
S3 0.155 0.489 0.182  0.00
S4 0.693 0.027 0.182  0.00
S5 0.318 0.504 0.822  0.00
S6 0.682 0.496 0.178  0.00
S7 0.826 0.984 0.810  0.00
S8 0.845 0.511 0.818  0.00
K1 0.000 0.500 0.500  0.00

Computed properties:
symmetry	C2/m, No. 12
final energy	-87.6	eV per cell
formation energy without anion corrections	-1.827	eV per atom

---

Entry 2:
K4Th3S8 | PBE | optimized geometry

a = 8.528 Å, b = 8.528 Å, c = 9.265 Å
α = 62.60°, β = 62.60°, γ = 60.00°
Fractional coordinates of all 15 atoms:
S1 0.772 0.772 0.683
S2 0.228 0.228 0.317
S3 0.199 0.746 0.309
S4 0.254 0.254 0.691
S5 0.801 0.254 0.691
S6 0.746 0.199 0.309
S7 0.254 0.801 0.691
S8 0.746 0.746 0.309
Th1 0.000 0.000 0.500
Th2 0.000 0.500 0.500
Th3 0.500 0.000 0.500
K1 0.500 0.500 0.500
K2 0.642 0.642 0.074
K3 0.358 0.358 0.926
K4 0.000 0.000 0.000

Computed properties:
symmetry	R-3m, No. 166
final energy	-85.4	eV per cell
formation energy without anion corrections	-1.719	eV per atom

---

Entry 3:
K2Th2S5 | PBE | optimized geometry

a = 7.892 Å, b = 7.882 Å, c = 8.701 Å
α = 116.93°, β = 90.00°, γ = 90.00°
Fractional coordinates of all 18 atoms:
K1 0.000 0.794 0.589
K2 0.500 0.294 0.589
K3 0.500 0.706 0.411
K4 0.000 0.206 0.411
S1 0.856 0.531 0.774
S2 0.856 0.757 0.226
S3 0.500 0.500 0.000
S4 0.000 0.000 0.000
S5 0.356 0.743 0.774
S6 0.144 0.469 0.226
S7 0.644 0.031 0.774
S8 0.644 0.257 0.226
S9 0.356 0.969 0.226
S10 0.144 0.243 0.774
Th1 0.335 0.165 0.000
Th2 0.165 0.665 0.000
Th3 0.835 0.335 0.000
Th4 0.665 0.835 0.000

Computed properties:
symmetry	Cmce, No. 64
final energy	-107.6	eV per cell
formation energy without anion corrections	-1.794	eV per atom

---

Entry 4:
KThS2 | PBE | optimized geometry

a = 4.059 Å, b = 4.059 Å, c = 8.109 Å
α = 75.51°, β = 75.51°, γ = 60.00°
Fractional coordinates of all 4 atoms:
S1 0.264 0.264 0.209
S2 0.072 0.072 0.784
Th1 0.668 0.668 0.996
K1 0.496 0.496 0.511

Computed properties:
symmetry	R3m, No. 160
final energy	-23.4	eV per cell
formation energy without anion corrections	-1.647	eV per atom

---

Entry 5:
K3ThS4 | PBE | optimized geometry

a = 4.267 Å, b = 7.803 Å, c = 7.803 Å
α = 108.38°, β = 90.00°, γ = 90.00°
Last column: magnetic moment on the atom in μB.
Fractional coordinates of all 8 atoms:
S1 0.000 0.206 0.206  0.07
S2 0.500 0.219 0.781  0.23
S3 0.500 0.781 0.219  0.23
S4 0.000 0.794 0.794  0.07
K1 0.000 0.500 0.000  0.01
K2 0.000 0.000 0.500  0.01
K3 0.500 0.500 0.500  0.00
Th1 0.500 0.000 0.000  -0.01

Computed properties:
symmetry	Cmmm, No. 65
final energy	-38.2	eV per cell
formation energy without anion corrections	-1.368	eV per atom

---

Entry 6:
KThS2 | PBE | optimized geometry

a = 7.174 Å, b = 7.625 Å, c = 9.241 Å
α = 106.70°, β = 104.78°, γ = 108.82°
Fractional coordinates of all 16 atoms:
S1 0.417 0.141 0.878
S2 0.179 0.947 0.376
S3 0.583 0.859 0.122
S4 0.962 0.738 0.878
S5 0.697 0.429 0.376
S6 0.303 0.571 0.624
S7 0.821 0.053 0.624
S8 0.038 0.262 0.122
K1 0.804 0.554 0.109
K2 0.196 0.446 0.891
K3 0.572 0.322 0.645
K4 0.428 0.678 0.355
Th1 0.677 0.927 0.854
Th2 0.055 0.805 0.610
Th3 0.323 0.073 0.146
Th4 0.945 0.195 0.390

Computed properties:
symmetry	C2/c, No. 15
final energy	-93.3	eV per cell
formation energy without anion corrections	-1.638	eV per atom

---

Entry 7:
KThS2 | PBE | optimized geometry

a = 3.557 Å, b = 3.557 Å, c = 7.718 Å
α = 90.00°, β = 90.00°, γ = 90.00°
Fractional coordinates of all 4 atoms:
S1 0.000 0.000 0.209
S2 0.000 0.000 0.791
K1 0.500 0.500 0.500
Th1 0.500 0.500 0.000

Computed properties:
symmetry	P4/mmm, No. 123
final energy	-23.2	eV per cell
formation energy without anion corrections	-1.599	eV per atom

---

Entry 8:
K5ThS4 | PBE | optimized geometry

a = 4.382 Å, b = 8.818 Å, c = 9.787 Å
α = 99.14°, β = 102.94°, γ = 90.00°
Fractional coordinates of all 10 atoms:
S1 0.007 0.786 0.014
S2 0.646 0.071 0.291
S3 0.354 0.929 0.709
S4 0.993 0.214 0.986
K1 0.500 0.500 0.000
K2 0.159 0.312 0.317
K3 0.177 0.851 0.354
K4 0.823 0.149 0.646
K5 0.841 0.688 0.683
Th1 0.500 0.000 0.000

Computed properties:
symmetry	C2/m, No. 12
final energy	-42.4	eV per cell
formation energy without anion corrections	-1.293	eV per atom

---

Q: Which of these has the lowest formation energy without anion corrections?
A: KTh4S8